Entry from Alexandria: a crystal of BPdSe3 relaxed with PBEsol (meta-GGA SCAN).

DFT total energy in eV per atom: -19.23
Formation energy (no corrections) in eV per atom: 0.85
Crystal system: cubic
Magnetic moment in μB per formula unit: 0.0
DOS at the Fermi energy in states/eV per atom: 0.9518

abc: 4.362 4.362 4.362
angles: 90.00 90.00 90.00
Element x y z (fractional)
B1 0.000 0.000 0.000
Pd1 0.500 0.500 0.500
Se1 0.000 0.000 0.500
Se2 0.000 0.500 0.000
Se3 0.500 0.000 0.000